# TePd3 meta-GGA SCAN PBEsol geometry
# Final energy ... -2.5114 Ry/atom
# Formation energy from raw total energies ... -0.28 eV per atom
data_TePd3
_chemical_formula_sum 'Te2 Pd6'
_symmetry_space_group_name_H-M 'I 4/m m m'
_symmetry_Int_Tables_number 139
_symmetry_space_group_name_Hall '-I 4 2'
_cell_length_a 4.475
_cell_length_b 4.475
_cell_length_c 6.505
_cell_angle_alpha 90.00
_cell_angle_beta 90.00
_cell_angle_gamma 90.00
loop_
_atom_site_label
_atom_site_type_symbol
_atom_site_fract_x
_atom_site_fract_y
_atom_site_fract_z
_atom_site_occupancy
Te1 Te 0.000 0.000 0.000 1
Pd1 Pd 0.000 0.000 0.500 1
Pd2 Pd 0.000 0.500 0.250 1